! YMn2Cu2, optimized geometry, DFT GGA-PBE; values from VASP
&SYSTEM
  ibrav = 0, nat = 10, ntyp = 3
/
ATOMIC_SPECIES
Y 88.91 Y.upf
Mn 54.94 Mn.upf
Cu 63.55 Cu.upf
CELL_PARAMETERS angstrom
-4.983 5.154 2.059
-3.361 -0.599 -6.631
-1.708 -2.072 1.053
ATOMIC_POSITIONS angstrom
Y 0.000 0.000 0.000
Y -4.172 2.277 -2.286
Mn -4.746 1.374 -4.996
Mn -6.448 4.092 -2.408
Mn -3.597 3.181 0.424
Mn -1.895 0.463 -2.164
Cu -3.873 -0.605 -3.523
Cu -6.966 1.865 -3.681
Cu -6.178 3.087 0.004
Cu -3.085 0.618 0.161
! Energy of formation from the pure elements in kJ/mol of formula units: 96.6
! N(E_F) in states/eV/cell: 8.920
! Polymorph energy (0 for the lowest one) in eV per atom: 0.0000
! Space-group type: P4/mbm

=====

! Na2HoSbTe4, optimized geometry, DFT GGA-PBE; values from VASP
&SYSTEM
  ibrav = 0, nat = 8, ntyp = 4
/
ATOMIC_SPECIES
Na 22.99 Na.upf
Ho 164.93 Ho.upf
Sb 121.76 Sb.upf
Te 127.60 Te.upf
CELL_PARAMETERS angstrom
-1.083 4.024 -1.487
-2.915 -3.150 -6.401
-5.782 0.467 5.474
ATOMIC_POSITIONS angstrom
Na -3.433 2.245 1.994
Na -4.348 -1.342 -0.464
Ho -1.999 0.437 -3.944
Sb 0.000 0.000 0.000
Te -2.583 1.350 -1.047
Te -7.197 -0.010 -1.367
Te -5.205 -0.448 2.578
Te -3.492 -2.235 -3.505
! Energy relative to the elements, uncorrected in meV/atom: -879
! Space-group type: P2/m

=====

! Mg2CdGa2, optimized geometry, DFT GGA-PBE; values from VASP
&SYSTEM
  ibrav = 0, nat = 10, ntyp = 3
/
ATOMIC_SPECIES
Mg 24.30 Mg.upf
Ga 69.72 Ga.upf
Cd 112.41 Cd.upf
CELL_PARAMETERS angstrom
7.979 0.000 0.000
0.000 7.979 0.000
0.000 0.000 3.343
ATOMIC_POSITIONS angstrom
Mg 2.910 6.899 0.000
Mg 6.899 5.070 0.000
Mg 5.070 1.080 0.000
Mg 1.080 2.910 0.000
Ga 1.314 5.304 1.671
Ga 5.304 6.665 1.671
Ga 6.665 2.675 1.671
Ga 2.675 1.314 1.671
Cd 0.000 0.000 0.000
Cd 3.990 3.990 0.000
! Energy of formation from the pure elements in kJ/mol of formula units: -2.2
! N(E_F) in states/eV/cell: 4.017
! Polymorph energy (0 for the lowest one) in eV per atom: 0.0955
! Space-group type: P4/mbm